1.
Entry from Alexandria: crystalline ZnPd2Br at its relaxed geometry (PBE).

Calculated values
* V: 67.8 Å³/f.u.
* offset from the most stable computed form: 0 meV per atom
* energy: -3.283 eV/atom
* formation energy (no corrections): 50 meV/atom
* crystal system: cubic
* symmetry: Fm-3m (225)

```
4
Lattice="0.000 3.236 3.236 3.236 0.000 3.236 3.236 3.236 0.000" Properties=species:S:1:pos:R:3 pbc="T T T"
Zn 0.000 0.000 0.000
Br 3.236 3.236 3.236
Pd 1.618 1.618 1.618
Pd 4.854 4.854 4.854
```

2.
Entry from Alexandria: crystalline HgTe2 at its relaxed geometry (PBE).

Calculated values
* V: 104.2 Å³/f.u.
* offset from the most stable computed form: 91 meV per atom
* energy: -2.081 eV/atom
* formation energy (no corrections): 114 meV/atom
* crystal system: orthorhombic
* symmetry: Immm (71)

```
3
Lattice="-2.154 5.622 0.965 -3.592 -1.510 4.690 5.513 1.033 -2.391" Properties=species:S:1:pos:R:3 pbc="T T T"
Hg 0.000 0.000 0.000
Te -1.956 1.400 1.925
Te -3.790 2.713 3.730
```

3.
Entry from Alexandria: crystalline Nd2AgGe3Pt4 at its relaxed geometry (PBE).

Calculated values
* V: 198.4 Å³/f.u.
* energy relative to the elements: -0.804 eV/atom
* energy: -5.844 eV/atom
* crystal system: tetragonal
* symmetry: P-4m2 (115)

```
10
Lattice="-0.142 -1.420 -4.132 2.425 -3.465 1.107 -8.633 -5.360 2.137" Properties=species:S:1:pos:R:3 pbc="T T T"
Nd -2.251 -2.063 -1.526
Nd -5.240 -5.738 2.151
Ag -3.175 -5.122 -0.444
Ge -4.316 -2.680 1.069
Ge -7.626 -5.400 -0.196
Ge 0.135 -2.402 0.820
Pt 1.142 -2.442 -1.513
Pt 0.000 0.000 0.000
Pt -5.624 -4.158 -0.691
Pt -1.867 -3.644 1.316
```

4.
Entry from Alexandria: crystalline AcSmSi at its relaxed geometry (PBE).

Calculated values
* V: 93.4 Å³/f.u.
* offset from the most stable computed form: 0 meV per atom
* energy: -5.131 eV/atom
* formation energy (no corrections): -380 meV/atom
* crystal system: triclinic
* symmetry: P-1 (2)

```
6
Lattice="-2.725 3.212 0.523 -6.019 -2.412 0.691 -1.225 0.565 7.403" Properties=species:S:1:pos:R:3 pbc="T T T"
Ac -5.862 2.191 5.611
Ac -6.706 -1.132 4.362
Sm -4.292 1.295 2.037
Sm -8.276 -0.236 7.937
Si -7.306 1.446 2.636
Si -5.262 -0.388 7.337
```

> Which of these has the lowest V?

ZnPd2Br

> What is the formula in the fourth record?

AcSmSi